Density functional theory data (PBE) for an optimized crystal structure of Te2IrWN.

Total magnetic moment in μB/cell: 2.83
VASP energy in eV per atom: -6.27
ΔE_f (raw) in eV/atom: 1.012
Space group: P4/mmm

a b c (Å): 5.4197 5.4197 3.6325
angles (deg): 90.00 90.00 90.00
With the nearest neighbours (Å) after each atom.
Positions (direct):
W1 0.5000 0.5000 0.5000  8 Te 3.26, 2 W 3.63
Te1 0.5000 0.0000 0.0000  2 Ir 2.71
Te2 0.0000 0.5000 0.0000  2 Ir 2.71
N1 0.0000 0.0000 0.5000  2 Ir 1.82
Ir1 0.0000 0.0000 0.0000  2 N 1.82